No. 1
VASP calculation (PBE-GGA) on a relaxed Th2OsO crystal.

Lattice parameters (Å, degrees): 4.2534 4.2534 7.7344 74.04 74.04 60.00
Fractional coordinates of all 4 atoms:
Os  0.5000  0.5000  0.5000
O  0.0000  0.0000  0.0000
Th  0.0983  0.0983  0.7052
Th  0.9017  0.9017  0.2948

- Calculated density: 9.69 g cm⁻³
- Total energy: -0.3353 Ha/atom
- E_form (uncorrected): -1.37 eV/atom
- Magnetization: 0.0 μB/f.u.


No. 2
VASP calculation (PBE-GGA) on a relaxed ThTl2Os3O12 crystal.

Lattice parameters (Å, degrees): 7.6915 7.6915 7.6915 56.81 56.81 56.81
Fractional coordinates of all 18 atoms:
Th  0.0000  0.0000  0.0000
Tl  0.6598  0.6598  0.6598
Tl  0.3402  0.3402  0.3402
Os  0.5000  0.0000  0.0000
Os  0.0000  0.5000  0.0000
Os  0.0000  0.0000  0.5000
O  0.2972  0.2972  0.9251
O  0.9152  0.9152  0.3697
O  0.3697  0.9152  0.9152
O  0.9251  0.2972  0.2972
O  0.9152  0.3697  0.9152
O  0.2972  0.9251  0.2972
O  0.7028  0.7028  0.0749
O  0.0848  0.0848  0.6303
O  0.6303  0.0848  0.0848
O  0.0749  0.7028  0.7028
O  0.0848  0.6303  0.0848
O  0.7028  0.0749  0.7028

- Calculated density: 7.82 g cm⁻³
- Total energy: -0.2658 Ha/atom
- E_form (uncorrected): -1.38 eV/atom
- Magnetization: 0.0 μB/f.u.


No. 3
VASP calculation (PBE-GGA) on a relaxed Ti3OsO crystal.

Lattice parameters (Å, degrees): 4.0817 4.0817 4.0817 90.00 90.00 90.00
Fractional coordinates of all 5 atoms:
Os  0.5000  0.5000  0.5000
O  0.0000  0.0000  0.0000
Ti  0.0000  0.5000  0.0000
Ti  0.0000  0.0000  0.5000
Ti  0.5000  0.0000  0.0000

- Calculated density: 8.54 g cm⁻³
- Total energy: -0.3362 Ha/atom
- E_form (uncorrected): -1.17 eV/atom
- Magnetization: 0.0 μB/f.u.


No. 4
VASP calculation (PBE-GGA) on a relaxed Ti2OsO crystal.

Lattice parameters (Å, degrees): 5.7511 5.7511 5.4152 57.93 57.93 90.00
Fractional coordinates of all 8 atoms:
Os  0.0000  0.0000  0.0000
Os  0.7500  0.2500  0.5000
O  0.5000  0.5000  0.0000
O  0.2500  0.7500  0.5000
Ti  0.5477  0.1250  0.2500
Ti  0.2023  0.6250  0.2500
Ti  0.3750  0.4523  0.7500
Ti  0.8750  0.7977  0.7500

- Calculated density: 8.48 g cm⁻³
- Total energy: -0.3318 Ha/atom
- E_form (uncorrected): -1.04 eV/atom
- Magnetization: 0.0 μB/f.u.